Compound: ScTa2BiAu
Source: the Alexandria database
Functional: PBE
Structure: relaxed

Computed properties:
The calculation puts the spin magnetization at 0.00 μB/f.u. The uncorrected energy comes out at -6.52 eV/atom. As for the formation energy: 0.919 eV/atom. The density of states at the Fermi level comes out at 1.21 states/eV/atom. The symmetry is P4/mmm, No. 123.

a = 5.0194 Å, b = 5.0194 Å, c = 5.1142 Å
α = 90.00°, β = 90.00°, γ = 90.00°
Last column: nearest neighbours and their distance in Å.
Fractional positions:
Sc 0.0000 0.0000 0.0000  2 Au 2.56
Ta 0.0000 0.5000 0.5000  2 Au 2.51
Ta 0.5000 0.0000 0.5000  2 Au 2.51
Bi 0.5000 0.5000 0.0000  4 Sc 3.55, 8 Ta 3.58
Au 0.0000 0.0000 0.5000  4 Ta 2.51, 2 Sc 2.56